(1)
Compound: Ga2PbAu2
Source: the Alexandria database
Functional: PBE-GGA
Structure: relaxed

It has space group P4/mbm (No. 127), with a = 8.044 Å, b = 8.044 Å, c = 3.226 Å, α = 90.00°, β = 90.00° and γ = 90.00°. The inequivalent atoms are Ga at (0.162, 0.338, 0.000), Pb at (0.000, 0.000, 0.500) and Au at (0.133, 0.633, 0.500).

The value obtained for the excess energy over the best structure of this formula in the dataset is 82 meV per atom.

=====

(2)
Compound: GaPb4Au4
Source: the Alexandria database
Functional: PBE-GGA
Structure: relaxed

It has space group I-42m (No. 121), with a = 6.219 Å, b = 6.219 Å, c = 12.257 Å, α = 90.00°, β = 90.00° and γ = 90.00°. The inequivalent atoms are Ga at (0.000, 0.000, 0.000), Pb at (0.214, 0.214, 0.642) and Au at (0.243, 0.243, 0.882).

=====

(3)
Compound: GaPbAu
Source: the Alexandria database
Functional: PBE-GGA
Structure: relaxed

It has space group P2_1/m (No. 11), with a = 5.040 Å, b = 4.468 Å, c = 6.523 Å, α = 90.00°, β = 102.52° and γ = 90.00°. The inequivalent atoms are Ga at (0.166, 0.250, 0.478), Pb at (0.268, 0.750, 0.104) and Au at (0.376, 0.750, 0.671).

=====

no.,N(E_F) (states/eV/f.u.),DFT formation energy (eV per formula unit)
1,2.2,-0.36
2,4.0,-0.42
3,1.2,-0.34